w.
! Rb2AgSb2, relaxed, DFT PBE; values from VASP
! **ρ**: 5.01 g cm⁻³
! **N(E_F)**: 4.221 states/eV/cell
! **Space-group type**: No. 127
! **Total moment**: 0.00 μB per cell
&SYSTEM
  ibrav = 0, nat = 10, ntyp = 3
/
ATOMIC_SPECIES
Rb 85.47 Rb.upf
Ag 107.87 Ag.upf
Sb 121.76 Sb.upf
CELL_PARAMETERS angstrom
7.5480 0.0000 0.0000
0.0000 7.5480 0.0000
0.0000 0.0000 6.0716
ATOMIC_POSITIONS crystal
Rb 0.1681 0.3319 0.0000
Rb 0.3319 0.8319 0.0000
Rb 0.6681 0.1681 0.0000
Rb 0.8319 0.6681 0.0000
Ag 0.0000 0.0000 0.5000
Ag 0.5000 0.5000 0.5000
Sb 0.1395 0.6395 0.5000
Sb 0.3605 0.1395 0.5000
Sb 0.6395 0.8605 0.5000
Sb 0.8605 0.3605 0.5000

---

x.
! Rb2AgSb2, relaxed, DFT PBE; values from VASP
! **ρ**: 4.88 g cm⁻³
! **N(E_F)**: 7.181 states/eV/cell
! **Space-group type**: No. 12
! **Total moment**: 0.00 μB per cell
&SYSTEM
  ibrav = 0, nat = 10, ntyp = 3
/
ATOMIC_SPECIES
Rb 85.47 Rb.upf
Ag 107.87 Ag.upf
Sb 121.76 Sb.upf
CELL_PARAMETERS angstrom
6.2186 -2.6614 0.0000
6.2186 2.6614 0.0000
-5.6660 0.0000 10.7331
ATOMIC_POSITIONS crystal
Rb 0.0883 0.0883 0.3854
Rb 0.3215 0.3215 0.8120
Rb 0.6785 0.6785 0.1880
Rb 0.9117 0.9117 0.6146
Ag 0.3604 0.3604 0.1377
Ag 0.6396 0.6396 0.8623
Sb 0.0932 0.0932 0.9567
Sb 0.3877 0.3877 0.3889
Sb 0.6123 0.6123 0.6111
Sb 0.9068 0.9068 0.0433

---

y.
! Rb2AgSb2, relaxed, DFT PBE; values from VASP
! **ρ**: 4.20 g cm⁻³
! **N(E_F)**: 5.220 states/eV/cell
! **Space-group type**: No. 139
! **Total moment**: 0.00 μB per cell
&SYSTEM
  ibrav = 0, nat = 5, ntyp = 3
/
ATOMIC_SPECIES
Rb 85.47 Rb.upf
Ag 107.87 Ag.upf
Sb 121.76 Sb.upf
CELL_PARAMETERS angstrom
-2.6063 2.6063 7.6087
2.6063 -2.6063 7.6087
2.6063 2.6063 -7.6087
ATOMIC_POSITIONS crystal
Rb 0.2500 0.7500 0.5000
Rb 0.7500 0.2500 0.5000
Ag 0.0000 0.0000 0.0000
Sb 0.4119 0.4119 0.0000
Sb 0.5881 0.5881 0.0000

---

We find x to be the most stable, with the next structure 26 meV/atom higher.

---

w.
! RbScAg3, relaxed, DFT PBE; values from VASP
! **ρ**: 4.58 g cm⁻³
! **N(E_F)**: 3.282 states/eV/cell
! **Space-group type**: No. 221
! **Total moment**: 0.00 μB per cell
&SYSTEM
  ibrav = 0, nat = 5, ntyp = 3
/
ATOMIC_SPECIES
Rb 85.47 Rb.upf
Sc 44.96 Sc.upf
Ag 107.87 Ag.upf
CELL_PARAMETERS angstrom
5.4821 0.0000 0.0000
0.0000 5.4821 0.0000
0.0000 0.0000 5.4821
ATOMIC_POSITIONS crystal
Rb 0.0000 0.0000 0.0000
Sc 0.5000 0.5000 0.5000
Ag 0.0000 0.5000 0.5000
Ag 0.5000 0.0000 0.5000
Ag 0.5000 0.5000 0.0000

---

x.
! RbScAg3, relaxed, DFT PBE; values from VASP
! **ρ**: 4.39 g cm⁻³
! **N(E_F)**: 4.262 states/eV/cell
! **Space-group type**: No. 221
! **Total moment**: 0.00 μB per cell
&SYSTEM
  ibrav = 0, nat = 5, ntyp = 3
/
ATOMIC_SPECIES
Rb 85.47 Rb.upf
Sc 44.96 Sc.upf
Ag 107.87 Ag.upf
CELL_PARAMETERS angstrom
5.5575 0.0000 0.0000
0.0000 5.5575 0.0000
0.0000 0.0000 5.5575
ATOMIC_POSITIONS crystal
Rb 0.0000 0.0000 0.0000
Sc 0.5000 0.5000 0.5000
Ag 0.0000 0.0000 0.5000
Ag 0.0000 0.5000 0.0000
Ag 0.5000 0.0000 0.0000

---

We find w to be the most stable, with the next structure 846 meV/atom higher.

---

w.
! Rb2Ag2Se, relaxed, DFT PBE; values from VASP
! **ρ**: 4.27 g cm⁻³
! **N(E_F)**: 0.000 states/eV/cell
! **Space-group type**: No. 139
! **Total moment**: 0.00 μB per cell
&SYSTEM
  ibrav = 0, nat = 5, ntyp = 3
/
ATOMIC_SPECIES
Rb 85.47 Rb.upf
Ag 107.87 Ag.upf
Se 78.96 Se.upf
CELL_PARAMETERS angstrom
-3.4106 3.4106 3.8917
3.4106 -3.4106 3.8917
3.4106 3.4106 -3.8917
ATOMIC_POSITIONS crystal
Rb 0.2500 0.7500 0.5000
Rb 0.7500 0.2500 0.5000
Ag 0.1681 0.1681 0.0000
Ag 0.8319 0.8319 0.0000
Se 0.5000 0.5000 0.0000

---

x.
! Rb2Ag2Se, relaxed, DFT PBE; values from VASP
! **ρ**: 4.94 g cm⁻³
! **N(E_F)**: 0.000 states/eV/cell
! **Space-group type**: No. 127
! **Total moment**: 0.00 μB per cell
&SYSTEM
  ibrav = 0, nat = 10, ntyp = 3
/
ATOMIC_SPECIES
Rb 85.47 Rb.upf
Ag 107.87 Ag.upf
Se 78.96 Se.upf
CELL_PARAMETERS angstrom
7.7035 0.0000 0.0000
0.0000 7.7035 0.0000
0.0000 0.0000 5.2724
ATOMIC_POSITIONS crystal
Rb 0.1918 0.3082 0.0000
Rb 0.3082 0.8082 0.0000
Rb 0.6918 0.1918 0.0000
Rb 0.8082 0.6918 0.0000
Ag 0.1241 0.6241 0.5000
Ag 0.3759 0.1241 0.5000
Ag 0.6241 0.8759 0.5000
Ag 0.8759 0.3759 0.5000
Se 0.0000 0.0000 0.5000
Se 0.5000 0.5000 0.5000

---

We find w to be the most stable, with the next structure 122 meV/atom higher.